DFT (PBE-GGA) results for an optimized crystal structure of Pr3Tm7Sc2.

The structure in CIF format:
```
data_Pr3Tm7Sc2
_symmetry_space_group_name_H-M 'P 1'
_symmetry_Int_Tables_number 1
_cell_length_a 3.574
_cell_length_b 5.494
_cell_length_c 20.070
_cell_angle_alpha 90.00
_cell_angle_beta 95.14
_cell_angle_gamma 90.00
loop_
_symmetry_equiv_pos_as_xyz
'x,y,z'
loop_
_atom_site_label
_atom_site_fract_x
_atom_site_fract_y
_atom_site_fract_z
_atom_site_occupancy
Tm1 0.412 0.000 0.826 1
Pr1 0.829 0.000 0.661 1
Tm2 0.070 0.500 0.138 1
Sc1 0.361 0.500 0.726 1
Pr2 0.171 0.000 0.339 1
Tm3 0.588 0.000 0.174 1
Tm4 0.000 0.000 0.000 1
Pr3 0.500 0.500 0.000 1
Sc2 0.639 0.500 0.274 1
Tm5 0.285 0.500 0.570 1
Tm6 0.715 0.500 0.430 1
Tm7 0.930 0.500 0.862 1
```

D(E_F), states/eV/atom: 1.618
Formation enthalpy at 0 K, eV/f.u.: 2.91